A relaxed RbZnAgF6 crystal, computed with PBE.

Structure (CIF):
```
data_RbZnAgF6
_cell_length_a 5.576
_cell_length_b 5.590
_cell_length_c 5.992
_cell_angle_alpha 91.41
_cell_angle_beta 91.48
_cell_angle_gamma 115.25
_symmetry_space_group_name_H-M 'P 1'
_symmetry_Int_Tables_number 1
_symmetry_space_group_name_Hall 'P 1'
loop_
_atom_site_label
_atom_site_fract_x
_atom_site_fract_y
_atom_site_fract_z
_atom_site_occupancy
Rb1 0.000 0.000 0.000 1
Zn1 0.680 0.319 0.500 1
Ag1 0.335 0.665 0.500 1
F1 0.011 0.634 0.327 1
F2 0.363 0.369 0.329 1
F3 0.367 0.988 0.673 1
F4 0.632 0.051 0.275 1
F5 0.632 0.636 0.671 1
F6 0.949 0.365 0.724 1
```

=====

A relaxed RbZnAg2F8 crystal, computed with PBE.

Structure (CIF):
```
data_RbZnAg2F8
_cell_length_a 4.906
_cell_length_b 5.069
_cell_length_c 8.293
_cell_angle_alpha 84.75
_cell_angle_beta 89.77
_cell_angle_gamma 84.74
_symmetry_space_group_name_H-M 'P -1'
_symmetry_Int_Tables_number 2
_symmetry_space_group_name_Hall '-P 1'
loop_
_atom_site_label
_atom_site_fract_x
_atom_site_fract_y
_atom_site_fract_z
_atom_site_occupancy
Rb1 0.000 0.000 0.000 1
Zn1 0.000 0.000 0.500 1
Ag1 0.466 0.486 0.296 1
F1 0.153 0.778 0.321 1
F2 0.198 0.790 0.698 1
F3 0.302 0.254 0.480 1
F4 0.411 0.300 0.901 1
```

=====

A relaxed Rb2ZrAgF6 crystal, computed with PBE.

Structure (CIF):
```
data_Rb2ZrAgF6
_cell_length_a 9.688
_cell_length_b 9.688
_cell_length_c 9.688
_cell_angle_alpha 90.00
_cell_angle_beta 90.00
_cell_angle_gamma 90.00
_symmetry_space_group_name_H-M 'F m -3 m'
_symmetry_Int_Tables_number 225
_symmetry_space_group_name_Hall '-F 4 2 3'
loop_
_atom_site_label
_atom_site_fract_x
_atom_site_fract_y
_atom_site_fract_z
_atom_site_occupancy
Rb1 0.250 0.250 0.250 1
Zr1 0.000 0.000 0.000 1
Ag1 0.000 0.000 0.500 1
F1 0.000 0.000 0.211 1
```

=====

A relaxed RbZrAg2F8 crystal, computed with PBE.

Structure (CIF):
```
data_RbZrAg2F8
_cell_length_a 8.216
_cell_length_b 7.171
_cell_length_c 8.170
_cell_angle_alpha 90.00
_cell_angle_beta 103.07
_cell_angle_gamma 90.00
_symmetry_space_group_name_H-M 'C 1 2/m 1'
_symmetry_Int_Tables_number 12
_symmetry_space_group_name_Hall '-C 2y'
loop_
_atom_site_label
_atom_site_fract_x
_atom_site_fract_y
_atom_site_fract_z
_atom_site_occupancy
Rb1 0.000 0.000 0.000 1
Zr1 0.000 0.000 0.500 1
Ag1 0.043 0.500 0.225 1
F1 0.016 0.194 0.686 1
F2 0.161 0.500 0.996 1
F3 0.244 0.500 0.460 1
```

=====

A relaxed ReAgF3 crystal, computed with PBE.

Structure (CIF):
```
data_ReAgF3
_cell_length_a 4.422
_cell_length_b 4.422
_cell_length_c 4.422
_cell_angle_alpha 90.00
_cell_angle_beta 90.00
_cell_angle_gamma 90.00
_symmetry_space_group_name_H-M 'P m -3 m'
_symmetry_Int_Tables_number 221
_symmetry_space_group_name_Hall '-P 4 2 3'
loop_
_atom_site_label
_atom_site_fract_x
_atom_site_fract_y
_atom_site_fract_z
_atom_site_occupancy
Re1 0.000 0.000 0.000 1
Ag1 0.500 0.500 0.500 1
F1 0.000 0.500 0.500 1
```

## Properties
Relative energy among the computed polymorphs = 0.6812 eV/atom

=====

A relaxed ReAgF6 crystal, computed with PBE.

Structure (CIF):
```
data_ReAgF6
_cell_length_a 7.535
_cell_length_b 6.739
_cell_length_c 5.292
_cell_angle_alpha 90.00
_cell_angle_beta 110.04
_cell_angle_gamma 90.00
_symmetry_space_group_name_H-M 'C 1 2/m 1'
_symmetry_Int_Tables_number 12
_symmetry_space_group_name_Hall '-C 2y'
loop_
_atom_site_label
_atom_site_fract_x
_atom_site_fract_y
_atom_site_fract_z
_atom_site_occupancy
Re1 0.000 0.000 0.000 1
Ag1 0.000 0.500 0.500 1
F1 0.068 0.200 0.275 1
F2 0.242 0.500 0.984 1
```

## Properties
Relative energy among the computed polymorphs = 0.0000 eV/atom

=====

A relaxed ReAg2F7 crystal, computed with PBE.

Structure (CIF):
```
data_ReAg2F7
_cell_length_a 13.289
_cell_length_b 6.471
_cell_length_c 9.224
_cell_angle_alpha 90.00
_cell_angle_beta 129.77
_cell_angle_gamma 90.00
_symmetry_space_group_name_H-M 'C 1 2/c 1'
_symmetry_Int_Tables_number 15
_symmetry_space_group_name_Hall '-C 2yc'
loop_
_atom_site_label
_atom_site_fract_x
_atom_site_fract_y
_atom_site_fract_z
_atom_site_occupancy
Re1 0.000 0.127 0.250 1
Ag1 0.193 0.417 0.779 1
F1 0.000 0.432 0.250 1
F2 0.092 0.158 0.522 1
F3 0.117 0.119 0.861 1
F4 0.155 0.205 0.277 1
```

=====

A relaxed Re2AgF crystal, computed with PBE.

Structure (CIF):
```
data_Re2AgF
_cell_length_a 3.537
_cell_length_b 3.537
_cell_length_c 20.963
_cell_angle_alpha 90.00
_cell_angle_beta 90.00
_cell_angle_gamma 90.00
_symmetry_space_group_name_H-M 'I -4 2 d'
_symmetry_Int_Tables_number 122
_symmetry_space_group_name_Hall 'I -4 2bw'
loop_
_atom_site_label
_atom_site_fract_x
_atom_site_fract_y
_atom_site_fract_z
_atom_site_occupancy
Re1 0.236 0.250 0.125 1
Ag1 0.000 0.000 0.000 1
F1 0.000 0.000 0.500 1
```

## Properties
Relative energy among the computed polymorphs = 0.0000 eV/atom

=====

Number 1: VASP energy -33.1 eV/f.u., mass density 3.67 Mg/m³. Number 2: VASP energy -43.1 eV/f.u., mass density 4.21 Mg/m³. Number 3: VASP energy -51.8 eV/f.u., mass density 3.54 Mg/m³. Number 4: VASP energy -59.6 eV/f.u., mass density 3.86 Mg/m³. Number 5: VASP energy -20.7 eV/f.u., mass density 6.74 Mg/m³. Number 6: VASP energy -41.3 eV/f.u., mass density 5.37 Mg/m³. Number 7: VASP energy -47.9 eV/f.u., mass density 5.83 Mg/m³. Number 8: VASP energy -27.0 eV/f.u., mass density 12.65 Mg/m³.